# NiMoBr2 | Alexandria | PBE | optimized geometry
data_NiMoBr2
_chemical_formula_sum 'Ni2 Mo2 Br4'
_cell_length_a 3.1300
_cell_length_b 4.5296
_cell_length_c 12.1131
_cell_angle_alpha 90.00
_cell_angle_beta 90.00
_cell_angle_gamma 90.00
_space_group_name_H-M_alt 'I m m 2'
_space_group_IT_number 44
loop_
_space_group_symop_operation_xyz
'x,y,z'
'-x,-y,z'
'-x,y,z'
'x,-y,z'
'x+1/2,y+1/2,z+1/2'
'-x+1/2,-y+1/2,z+1/2'
'-x+1/2,y+1/2,z+1/2'
'x+1/2,-y+1/2,z+1/2'
loop_
_atom_site_label
_atom_site_fract_x
_atom_site_fract_y
_atom_site_fract_z
Ni1 0.0000 0.0000 0.0000
Mo1 0.0000 0.5000 0.3371
Br1 0.0000 0.0000 0.6566
Br2 0.0000 0.5000 0.8800
# ΔE_f (raw), kJ/mol of formula units: 222.0
# Calculated total energy, eV/cell: -35.31
# Size of the total moment, μB per formula unit: 1.76
# Excess energy over the best structure of this formula in the dataset, kcal/mol of atoms: 12.29


# LiEuTlAu | Alexandria | PBE | optimized geometry
data_LiEuTlAu
_chemical_formula_sum 'Li4 Eu4 Tl4 Au4'
_cell_length_a 7.3013
_cell_length_b 7.3013
_cell_length_c 7.3013
_cell_angle_alpha 90.00
_cell_angle_beta 90.00
_cell_angle_gamma 90.00
_space_group_name_H-M_alt 'F -4 3 m'
_space_group_IT_number 216
_space_group_name_Hall 'F -4 2 3'
loop_
_atom_site_label
_atom_site_fract_x
_atom_site_fract_y
_atom_site_fract_z
Li1 0.0000 0.0000 0.0000
Eu1 0.0000 0.0000 0.5000
Tl1 0.2500 0.2500 0.2500
Au1 0.2500 0.2500 0.7500
# Calculated total energy, eV/cell: -77.69
# Size of the total moment, μB per formula unit: 7.08
# Formation energy from the elements, eV/atom: -0.40


Look up the calculated total energy of the second one. -77.69 eV/cell


Which of these has the highest calculated total energy? NiMoBr2


What did the second record say?
# LiEuTlAu | Alexandria | PBE | optimized geometry
data_LiEuTlAu
_chemical_formula_sum 'Li4 Eu4 Tl4 Au4'
_cell_length_a 7.3013
_cell_length_b 7.3013
_cell_length_c 7.3013
_cell_angle_alpha 90.00
_cell_angle_beta 90.00
_cell_angle_gamma 90.00
_space_group_name_H-M_alt 'F -4 3 m'
_space_group_IT_number 216
_space_group_name_Hall 'F -4 2 3'
loop_
_atom_site_label
_atom_site_fract_x
_atom_site_fract_y
_atom_site_fract_z
Li1 0.0000 0.0000 0.0000
Eu1 0.0000 0.0000 0.5000
Tl1 0.2500 0.2500 0.2500
Au1 0.2500 0.2500 0.7500
# Calculated total energy, eV/cell: -77.69
# Size of the total moment, μB per formula unit: 7.08
# Formation energy from the elements, eV/atom: -0.40